Record 1
VASP calculation (GGA-PBE) on a geometry-optimized CaCoPCl2 structure.

a b c (Å): 5.039 5.039 6.062
angles (deg): 90.00 90.00 90.00
Element x y z (fractional)
1 Ca 0.000 0.000 0.000
2 Co 0.500 0.500 0.500
3 P 0.000 0.000 0.500
4 Cl 0.000 0.500 0.000
5 Cl 0.500 0.000 0.000

Results
The value obtained for the energy relative to the lowest polymorph listed for this composition is 0.776 eV per atom. For the uncorrected formation energy, the calculation gives 0.147 eV per atom. The space group is No. 123.

Record 2
VASP calculation (GGA-PBE) on a geometry-optimized Ca2CoPtCl structure.

a b c (Å): 5.313 5.313 4.040
angles (deg): 90.00 90.00 90.00
Element x y z (fractional)
1 Ca 0.000 0.500 0.000
2 Ca 0.500 0.000 0.000
3 Co 0.000 0.000 0.000
4 Pt 0.500 0.500 0.500
5 Cl 0.000 0.000 0.500

Results
For the uncorrected formation energy, the calculation gives -0.255 eV per atom. The space group is No. 123.